(1)
VASP calculation (PBE) on a relaxed Ba2BiI crystal.

Calculated values
As for the space group: Fm-3m, No. 225. Its calculated total energy is -3.531 eV/atom.

Cell lengths 6.1516, 6.1516, 6.1516 Å; angles 60.00, 60.00, 60.00 degrees
With the nearest neighbours (Å) after each atom.
Atoms (fractional coordinates):
Bi: 0.5000 0.5000 0.5000  8 Ba 3.77
Ba: 0.2500 0.2500 0.2500  4 Bi 3.77, 4 I 3.77
Ba: 0.7500 0.7500 0.7500  4 I 3.77, 4 Bi 3.77
I: 0.0000 0.0000 0.0000  8 Ba 3.77

***

(2)
VASP calculation (PBE) on a relaxed Ba3BiI2 crystal.

Calculated values
For the energy above the most stable polymorph in this dataset, the calculation gives 0.06 kcal/mol of atoms. As for the space group: Immm, No. 71.

Cell lengths 5.1101, 7.1124, 8.7310 Å; angles 114.04, 107.02, 90.00 degrees
With the nearest neighbours (Å) after each atom.
Atoms (fractional coordinates):
I: 0.3308 0.8308 0.6615  6 Ba 3.56-3.69
I: 0.6692 0.1692 0.3385  6 Ba 3.56-3.69
Ba: 0.6546 0.6546 0.3092  2 Bi 3.46, 4 I 3.56-3.69
Ba: 0.3454 0.3454 0.6908  2 Bi 3.46, 4 I 3.56-3.69
Ba: 0.0000 0.0000 0.0000  2 Bi 3.56, 4 I 3.61
Bi: 0.0000 0.5000 0.0000  6 Ba 3.46-3.56

***

(3)
VASP calculation (PBE) on a relaxed KBaBiI6 crystal.

Calculated values
As for the space group: P-31c, No. 163. Its calculated total energy is -2.913 eV/atom.

Cell lengths 8.5325, 8.5325, 15.0919 Å; angles 90.00, 90.00, 120.00 degrees
With the nearest neighbours (Å) after each atom.
Atoms (fractional coordinates):
I: 0.3429 0.3750 0.8710  1 Bi 3.12, 1 Ba 3.48
I: 0.6571 0.6250 0.1290  1 Bi 3.12, 1 Ba 3.48
I: 0.9678 0.3429 0.1290  1 Bi 3.12, 1 Ba 3.48
I: 0.3429 0.9678 0.6290  1 Bi 3.12, 1 Ba 3.48
I: 0.3750 0.3429 0.3710  1 Bi 3.12, 1 Ba 3.48
I: 0.6571 0.0322 0.3710  1 Bi 3.12, 1 Ba 3.48
I: 0.3750 0.0322 0.1290  1 Bi 3.12, 1 Ba 3.48
I: 0.9678 0.6250 0.3710  1 Bi 3.12, 1 Ba 3.48
I: 0.0322 0.6571 0.8710  1 Bi 3.12, 1 Ba 3.48
I: 0.6250 0.9678 0.8710  1 Bi 3.12, 1 Ba 3.48
I: 0.0322 0.3750 0.6290  1 Bi 3.12, 1 Ba 3.48
I: 0.6250 0.6571 0.6290  1 Bi 3.12, 1 Ba 3.48
Ba: 0.3333 0.6667 0.2500  6 I 3.48
Ba: 0.6667 0.3333 0.7500  6 I 3.48
Bi: 0.6667 0.3333 0.2500  6 I 3.12
Bi: 0.3333 0.6667 0.7500  6 I 3.12
K: 0.0000 0.0000 0.0000  6 I 3.64
K: 0.0000 0.0000 0.5000  6 I 3.64

***

(4)
VASP calculation (PBE) on a relaxed KBaBiI crystal.

Calculated values
As for the space group: F-43m, No. 216. Its calculated total energy is -2.961 eV/atom.

Cell lengths 6.1512, 6.1512, 6.1512 Å; angles 60.00, 60.00, 60.00 degrees
With the nearest neighbours (Å) after each atom.
Atoms (fractional coordinates):
I: 0.2500 0.2500 0.2500  4 Ba 3.77, 4 K 3.77
K: 0.0000 0.0000 0.0000  4 I 3.77, 4 Bi 3.77
Ba: 0.5000 0.5000 0.5000  4 Bi 3.77, 4 I 3.77
Bi: 0.7500 0.7500 0.7500  4 Ba 3.77, 4 K 3.77

***

(5)
VASP calculation (PBE) on a relaxed BaLi2BiI8 crystal.

Calculated values
As for the space group: P-3, No. 147. Its calculated total energy is -2.698 eV/atom.

Cell lengths 7.6186, 7.6186, 9.8993 Å; angles 90.00, 90.00, 120.00 degrees
With the nearest neighbours (Å) after each atom.
Atoms (fractional coordinates):
I: 0.3333 0.6667 0.0023  1 Li 2.72
I: 0.3220 0.0227 0.6990  1 Li 2.77, 1 Bi 3.08
I: 0.7007 0.6780 0.6990  1 Li 2.77, 1 Bi 3.08
I: 0.2993 0.3220 0.3010  1 Li 2.77, 1 Bi 3.08
I: 0.6667 0.3333 0.9977  1 Li 2.72
I: 0.0227 0.7007 0.3010  1 Li 2.77, 1 Bi 3.08
I: 0.6780 0.9773 0.3010  1 Li 2.77, 1 Bi 3.08
I: 0.9773 0.2993 0.6990  1 Li 2.77, 1 Bi 3.08
Li: 0.3333 0.6667 0.7275  4 I 2.72-2.77
Li: 0.6667 0.3333 0.2725  4 I 2.72-2.77
Ba: 0.0000 0.0000 0.0000  6 I 3.81
Bi: 0.0000 0.0000 0.5000  6 I 3.08

***

(6)
VASP calculation (PBE) on a relaxed BaMgBiI crystal.

Calculated values
As for the space group: R-3m, No. 166. Its calculated total energy is -3.269 eV/atom.

Cell lengths 4.9891, 4.9891, 16.3722 Å; angles 81.24, 81.24, 60.00 degrees
With the nearest neighbours (Å) after each atom.
Atoms (fractional coordinates):
Bi: 0.6261 0.6261 0.1216  4 Mg 2.98-3.03
Bi: 0.3739 0.3739 0.8784  4 Mg 2.98-3.03
I: 0.2079 0.2079 0.3764  3 Ba 3.45
I: 0.7921 0.7921 0.6236  3 Ba 3.45
Ba: 0.9138 0.9138 0.2585  3 I 3.45, 3 Bi 3.63
Ba: 0.0862 0.0862 0.7415  3 I 3.45, 3 Bi 3.63
Mg: 0.3122 0.3122 0.0634  4 Bi 2.98-3.03
Mg: 0.6878 0.6878 0.9366  4 Bi 2.98-3.03

***

(7)
VASP calculation (PBE) on a relaxed BaBiMo2I crystal.

Calculated values
As for the space group: P4/mmm, No. 123. Its calculated total energy is -4.700 eV/atom.

Cell lengths 5.5873, 5.5873, 7.0258 Å; angles 90.00, 90.00, 90.00 degrees
With the nearest neighbours (Å) after each atom.
Atoms (fractional coordinates):
Mo: 0.0000 0.5000 0.0000  2 Bi 2.79
Mo: 0.5000 0.0000 0.0000  2 Bi 2.79
Bi: 0.0000 0.0000 0.0000  4 Mo 2.79
Ba: 0.0000 0.0000 0.5000  2 Bi 3.51
I: 0.5000 0.5000 0.5000  4 Ba 3.95

***

(8)
VASP calculation (PBE) on a relaxed BaBiIN2 crystal.

Calculated values
For the energy above the most stable polymorph in this dataset, the calculation gives 0.00 kcal/mol of atoms. As for the space group: P4/mmm, No. 123.

Cell lengths 4.7173, 4.7173, 6.1995 Å; angles 90.00, 90.00, 90.00 degrees
With the nearest neighbours (Å) after each atom.
Atoms (fractional coordinates):
I: 0.0000 0.0000 0.5000  2 Bi 3.10, 4 Ba 3.34
N: 0.0000 0.5000 0.0000  2 Bi 2.36
N: 0.5000 0.0000 0.0000  2 Bi 2.36
Ba: 0.5000 0.5000 0.5000  4 I 3.34
Bi: 0.0000 0.0000 0.0000  4 N 2.36